Entry 1:
The following is a PBE-GGA calculation of crystalline TcCIN2 at its relaxed geometry, from Alexandria.

Properties
Magnetic moment, μB per atom: 0.2783
Energy relative to the lowest polymorph listed for this composition, meV per atom: 0
Final energy, eV/atom: -5.846
Crystal system: tetragonal

Unit cell a=3.7830 b=3.7830 c=5.9037 alpha=90.00 beta=90.00 gamma=90.00
Last column: nearest neighbours and their distance in Å.
Space group P4/mmm (No. 123)
Asymmetric unit:
1 Tc 0.0000 0.0000 0.0000 x1  4 N 1.89
2 C 0.5000 0.5000 0.5000 x1  4 I 2.68
3 I 0.0000 0.0000 0.5000 x1  4 C 2.68, 2 Tc 2.95
4 N 0.0000 0.5000 0.0000 x2  2 Tc 1.89


Entry 2:
The following is a PBE-GGA calculation of crystalline TiCI2N at its relaxed geometry, from Alexandria.

Properties
Magnetic moment, μB per atom: 0.2597
Energy relative to the lowest polymorph listed for this composition, meV per atom: 0
Final energy, eV/atom: -4.484
Crystal system: tetragonal

Unit cell a=5.6215 b=5.6215 c=3.7386 alpha=90.00 beta=90.00 gamma=90.00
Last column: nearest neighbours and their distance in Å.
Space group P4/mmm (No. 123)
Asymmetric unit:
1 Ti 0.0000 0.0000 0.0000 x1  2 N 1.87
2 C 0.5000 0.5000 0.5000 x1  8 I 3.38, 2 C 3.74
3 I 0.0000 0.5000 0.0000 x2  2 Ti 2.81
4 N 0.0000 0.0000 0.5000 x1  2 Ti 1.87


no.,uncorrected formation energy (eV/atom)
1,1.7126
2,1.2247